# 1
## DyZrPSe (GGA-PBE)

Data for a relaxed DyZrPSe crystal.

Cell and atoms, written as CIF:
```
data_DyZrPSe
_chemical_formula_sum 'Dy1 Zr1 P1 Se1'
_space_group_name_H-M_alt 'P 1'
_space_group_IT_number 1
_space_group_name_Hall 'P 1'
_cell_length_a 7.152
_cell_length_b 7.152
_cell_length_c 7.152
_cell_angle_alpha 31.00
_cell_angle_beta 31.00
_cell_angle_gamma 31.00
loop_
_atom_site_label
_atom_site_fract_x
_atom_site_fract_y
_atom_site_fract_z
Dy1 0.000 0.000 0.000
Zr1 0.812 0.812 0.812
P1 0.412 0.412 0.412
Se1 0.234 0.234 0.234
```

Calculated values
Its space-group type is No. 160. The calculation puts the uncorrected formation energy at -6.11 eV/f.u.

# 2
## NaDy3Er3Se8 (GGA-PBE)

Data for a relaxed NaDy3Er3Se8 crystal.

Cell and atoms, written as CIF:
```
data_NaDy3Er3Se8
_chemical_formula_sum 'Na1 Dy3 Er3 Se8'
_space_group_name_H-M_alt 'P 1'
_space_group_IT_number 1
_space_group_name_Hall 'P 1'
_cell_length_a 8.095
_cell_length_b 8.095
_cell_length_c 8.095
_cell_angle_alpha 59.97
_cell_angle_beta 59.97
_cell_angle_gamma 59.97
loop_
_atom_site_label
_atom_site_fract_x
_atom_site_fract_y
_atom_site_fract_z
Na1 0.000 0.000 0.000
Dy1 0.000 0.000 0.500
Dy2 0.000 0.500 0.000
Dy3 0.500 0.000 0.000
Er1 0.000 0.500 0.500
Er2 0.500 0.000 0.500
Er3 0.500 0.500 0.000
Se1 0.251 0.251 0.251
Se2 0.255 0.255 0.743
Se3 0.255 0.743 0.255
Se4 0.257 0.745 0.745
Se5 0.743 0.255 0.255
Se6 0.745 0.257 0.745
Se7 0.745 0.745 0.257
Se8 0.749 0.749 0.749
```

Calculated values
Its space-group type is No. 166. The calculation puts the uncorrected formation energy at -26.44 eV/f.u.

# 3
## LiBeS2Cl (GGA-PBE)

Data for a relaxed LiBeS2Cl crystal.

Cell and atoms, written as CIF:
```
data_LiBeS2Cl
_chemical_formula_sum 'Li1 Be1 S2 Cl1'
_space_group_name_H-M_alt 'P 1'
_space_group_IT_number 1
_space_group_name_Hall 'P 1'
_cell_length_a 4.388
_cell_length_b 4.388
_cell_length_c 4.664
_cell_angle_alpha 90.00
_cell_angle_beta 90.00
_cell_angle_gamma 90.00
loop_
_atom_site_label
_atom_site_fract_x
_atom_site_fract_y
_atom_site_fract_z
Li1 0.000 0.000 0.000
Be1 0.500 0.500 0.500
S1 0.000 0.500 0.000
S2 0.500 0.000 0.000
Cl1 0.000 0.000 0.500
```

Calculated values
As for the energy above the most stable polymorph in this dataset: 1003 meV/atom. Its space-group type is No. 123. The calculation puts the uncorrected formation energy at 2.77 eV/f.u.

How do the records compare in DOS at the Fermi energy? In the order shown, they have 1.5, 4.2, 5.0 states/eV per cell.